The following is a PBE-GGA calculation of SrV2TcCl after structural relaxation, from Alexandria.

POSCAR file:
```
SrV2TcCl
1.0
5.6760 0.0000 0.0000
0.0000 5.6760 0.0000
0.0000 0.0000 5.2153
Sr V Tc Cl
1 2 1 1
Cartesian
0.0000 0.0000 0.0000 Sr
0.0000 2.8380 0.0000 V
2.8380 0.0000 0.0000 V
2.8380 2.8380 2.6077 Tc
0.0000 0.0000 2.6077 Cl
```

Values from the calculation:
calculated total energy	-21.39	eV for the cell shown
formation energy without anion corrections	2.15	eV per atom
N(E_F)	1.63	states/eV/atom
space-group type	P4/mmm, No. 123
spin magnetization	12.30	μB per formula unit
V	33.6	Å³/atom